[1]
VASP calculation (GGA-PBE) on an optimized crystal structure of AcYAl2Pd5.

The calculated formation energy is -0.786 eV/atom. Its total energy is -51.10 eV/f.u. Its theoretical density is 8.5 g/cm3.

The structure belongs to space group P4/mmm (No. 123); the cell edges are 4.362, 4.362 and 9.269 Å and the angles 90.00°, 90.00° and 90.00°. The distinct sites, in fractional coordinates, are Ac at (0.000, 0.000, 0.000), Y at (0.000, 0.000, 0.500), Al at (0.500, 0.500, 0.360), Pd at (0.000, 0.500, 0.236) and Pd at (0.500, 0.500, 0.000).

[2]
VASP calculation (GGA-PBE) on an optimized crystal structure of Ac2YAlPd6.

The calculated formation energy is -0.703 eV/atom. Its total energy is -56.61 eV/f.u. Its theoretical density is 8.6 g/cm3.

The structure belongs to space group R-3m (No. 166, hexagonal axes); the cell edges are 6.5885, 6.5885 and 37.1688 Å and the angles 90.00°, 90.00° and 120.00°. The distinct sites, in fractional coordinates, are Ac at (0.0000, 0.0000, 0.1200), Ac at (0.0000, 0.0000, 0.2837), Y at (0.0000, 0.0000, 0.4214), Al at (0.0000, 0.0000, 0.0000), Al at (0.0000, 0.0000, 0.5000), Pd at (0.0500, 0.5250, 0.3062) and Pd at (0.0557, 0.5278, 0.8645).

[3]
VASP calculation (GGA-PBE) on an optimized crystal structure of AcYAlPd.

The calculated formation energy is -0.439 eV/atom. Its total energy is -21.26 eV/f.u. Its theoretical density is 7.1 g/cm3.

The structure belongs to space group F-43m (No. 216); the cell edges are 7.502, 7.502 and 7.502 Å and the angles 90.00°, 90.00° and 90.00°. The distinct sites, in fractional coordinates, are Ac at (0.000, 0.000, 0.000), Y at (0.000, 0.000, 0.500), Al at (0.250, 0.250, 0.250) and Pd at (0.250, 0.250, 0.750).

[4]
VASP calculation (GGA-PBE) on an optimized crystal structure of Ac2Al4ZnPd3.

The calculated formation energy is -0.714 eV/atom. Its total energy is -47.18 eV/f.u. Its theoretical density is 7.5 g/cm3.

The structure belongs to space group P-4m2 (No. 115); the cell edges are 4.446, 4.446 and 10.634 Å and the angles 90.00°, 90.00° and 90.00°. The distinct sites, in fractional coordinates, are Ac at (0.000, 0.500, 0.248), Al at (0.000, 0.000, 0.500), Al at (0.000, 0.500, 0.873), Al at (0.500, 0.500, 0.500), Zn at (0.500, 0.500, 0.000), Pd at (0.000, 0.000, 0.000) and Pd at (0.000, 0.500, 0.627).

[5]
VASP calculation (GGA-PBE) on an optimized crystal structure of Ac3AlZn2Pd6.

The calculated formation energy is -0.677 eV/atom. Its total energy is -57.90 eV/f.u. Its theoretical density is 9.1 g/cm3.

The structure belongs to space group P-3m1 (No. 164); the cell edges are 5.9254, 5.9254 and 8.8926 Å and the angles 90.00°, 90.00° and 120.00°. The distinct sites, in fractional coordinates, are Ac at (0.0000, 0.0000, 0.0000), Ac at (0.3333, 0.6667, 0.6373), Al at (0.0000, 0.0000, 0.5000), Zn at (0.3333, 0.6667, 0.0496) and Pd at (0.1724, 0.3447, 0.2907).

[6]
VASP calculation (GGA-PBE) on an optimized crystal structure of AcAlZnPd6.

The calculated formation energy is -0.490 eV/atom. Its total energy is -44.69 eV/f.u. Its theoretical density is 9.4 g/cm3.

The structure belongs to space group C2/m (No. 12); the cell edges are 13.739, 5.661 and 10.184 Å and the angles 90.00°, 121.17° and 90.00°. The distinct sites, in fractional coordinates, are Ac at (0.140, 0.000, 0.455), Al at (0.000, 0.500, 0.000), Al at (0.000, 0.500, 0.500), Zn at (0.250, 0.250, 0.000), Pd at (0.048, 0.000, 0.900), Pd at (0.060, 0.500, 0.299), Pd at (0.112, 0.239, 0.713) and Pd at (0.163, 0.244, 0.180).

[7]
VASP calculation (GGA-PBE) on an optimized crystal structure of Ac3Al2ZnPd9.

The calculated formation energy is -0.603 eV/atom. Its total energy is -76.87 eV/f.u. Its theoretical density is 9.0 g/cm3.

The structure belongs to space group P-3m1 (No. 164); the cell edges are 7.2885, 7.2885 and 7.0728 Å and the angles 90.00°, 90.00° and 120.00°. The distinct sites, in fractional coordinates, are Ac at (0.0000, 0.0000, 0.0000), Ac at (0.3333, 0.6667, 0.6638), Al at (0.3333, 0.6667, 0.1655), Zn at (0.0000, 0.0000, 0.5000), Pd at (0.0000, 0.5000, 0.0000) and Pd at (0.1684, 0.3367, 0.3297).

[8]
VASP calculation (GGA-PBE) on an optimized crystal structure of Ac2AlZnPd6.

The calculated formation energy is -0.748 eV/atom. Its total energy is -51.87 eV/f.u. Its theoretical density is 9.3 g/cm3.

The structure belongs to space group P-1 (No. 2); the cell edges are 5.634, 6.711 and 6.794 Å and the angles 77.18°, 65.56° and 65.19°. The distinct sites, in fractional coordinates, are Ac at (0.246, 0.219, 0.290), Al at (0.000, 0.000, 0.000), Zn at (0.500, 0.500, 0.500), Pd at (0.251, 0.244, 0.756), Pd at (0.251, 0.601, 0.900) and Pd at (0.252, 0.757, 0.244).

[9]
VASP calculation (GGA-PBE) on an optimized crystal structure of Ac2Al6ZnPd.

The calculated formation energy is -0.372 eV/atom. Its total energy is -40.86 eV/f.u. Its theoretical density is 5.7 g/cm3.

The structure belongs to space group P-1 (No. 2); the cell edges are 5.548, 6.905 and 7.078 Å and the angles 82.45°, 67.04° and 66.37°. The distinct sites, in fractional coordinates, are Ac at (0.041, 0.215, 0.204), Al at (0.005, 0.258, 0.728), Al at (0.343, 0.406, 0.411), Al at (0.492, 0.742, 0.270), Zn at (0.500, 0.500, 0.000) and Pd at (0.500, 0.000, 0.500).

[10]
VASP calculation (GGA-PBE) on an optimized crystal structure of AcAl3ZnPd.

The calculated formation energy is -0.358 eV/atom. Its total energy is -23.95 eV/f.u. Its theoretical density is 6.3 g/cm3.

The structure belongs to space group Cmcm (No. 63); the cell edges are 5.932, 14.827 and 5.793 Å and the angles 90.00°, 90.00° and 90.00°. The distinct sites, in fractional coordinates, are Ac at (0.000, 0.204, 0.250), Al at (0.000, 0.388, 0.750), Al at (0.221, 0.000, 0.000), Zn at (0.000, 0.130, 0.750) and Pd at (0.000, 0.409, 0.250).

[11]
VASP calculation (GGA-PBE) on an optimized crystal structure of AcAlZnPd.

The calculated formation energy is -0.559 eV/atom. Its total energy is -16.56 eV/f.u. Its theoretical density is 7.6 g/cm3.

The structure belongs to space group R3m (No. 160, hexagonal axes); the cell edges are 4.3574, 4.3574 and 16.9394 Å and the angles 90.00°, 90.00° and 120.00°. The distinct sites, in fractional coordinates, are Ac at (0.0000, 0.0000, 0.0000), Al at (0.0000, 0.0000, 0.7997), Zn at (0.0000, 0.0000, 0.2024) and Pd at (0.0000, 0.0000, 0.4938).

[12]
VASP calculation (GGA-PBE) on an optimized crystal structure of AcAlZnPd3.

The calculated formation energy is -0.600 eV/atom. Its total energy is -28.30 eV/f.u. Its theoretical density is 8.4 g/cm3.

The structure belongs to space group Cmcm (No. 63); the cell edges are 6.897, 12.302 and 5.948 Å and the angles 90.00°, 90.00° and 90.00°. The distinct sites, in fractional coordinates, are Ac at (0.000, 0.218, 0.250), Al at (0.000, 0.114, 0.750), Zn at (0.000, 0.480, 0.250), Pd at (0.000, 0.313, 0.750) and Pd at (0.208, 0.000, 0.000).